16
Lattice="0.771 -7.212 -3.373 0.452 -3.344 7.253 -7.478 4.510 -1.867" Properties=species:S:1:pos:R:3 comment="Sm5Ge2Te GGA-PBE relaxed" formation_energy_uncorrected_ev_per_atom=-0.811 m_tot_mub_per_fu=1.86 pbc="T T T"
Sm -1.135 -7.449 -0.333
Sm -4.732 -2.505 -2.241
Sm -1.523 -3.541 4.255
Sm -1.053 -7.773 3.924
Ge 0.272 -2.234 2.081
Sm -4.651 -2.829 2.016
Sm 0.611 -5.278 1.940
Sm 0.000 0.000 0.000
Te -2.822 -5.662 1.977
Sm -5.202 1.726 -1.910
Ge 0.563 -5.141 -1.122
Te -3.433 -0.384 0.037
Sm -1.605 -3.218 -0.002
Sm -5.121 1.402 2.347
Ge 0.950 -8.322 1.799
Ge 0.659 -5.415 5.002

***

9
Lattice="4.427 0.000 0.000 -2.213 5.267 -1.547 0.000 -0.894 10.598" Properties=species:S:1:pos:R:3 comment="In6Ga2Bi GGA-PBE relaxed" dft_energy_ev_per_cell=-25.92 m_tot_mub_per_fu=0.00 pbc="T T T"
In 0.000 5.003 1.354
In 2.213 -0.630 7.697
Ga 0.000 1.983 2.411
In 0.000 1.843 8.604
In 0.000 1.063 5.225
In 2.213 3.311 3.826
Bi 0.000 0.000 0.000
In 2.213 2.530 0.446
Ga 2.213 2.390 6.639

***

5
Lattice="6.925 0.000 0.000 0.000 6.925 0.000 0.000 0.000 6.925" Properties=species:S:1:pos:R:3 comment="CsNa3Cu GGA-PBE relaxed" relative_energy_mev_per_atom=789 m_tot_mub_per_fu=0.00 pbc="T T T"
Na 3.462 0.000 0.000
Na 0.000 3.462 0.000
Cs 0.000 0.000 0.000
Na 0.000 0.000 3.462
Cu 3.462 3.462 3.462

***

4
Lattice="-2.469 -4.392 1.310 0.524 -4.695 2.186 -1.215 -0.172 4.090" Properties=species:S:1:pos:R:3 comment="AlRuW2 GGA-PBE relaxed" dft_energy_ev_per_cell=-39.77 m_tot_mub_per_fu=0.00 pbc="T T T"
Ru -0.790 -2.315 1.897
W -1.582 -4.653 3.791
Al -2.370 -6.945 5.690
W -1.943 -9.063 3.498

***

4
Lattice="-4.804 -1.096 0.467 -1.525 -4.686 -0.460 -1.597 -2.484 3.972" Properties=species:S:1:pos:R:3 comment="Be2TlPb GGA-PBE relaxed" relative_energy_mev_per_atom=496 m_tot_mub_per_fu=0.00 pbc="T T T"
Be -1.982 -2.067 0.995
Pb -3.963 -4.133 1.989
Be 0.000 0.000 0.000
Tl -5.945 -6.200 2.984

***

4
Lattice="5.163 0.000 0.000 2.581 4.471 0.000 2.581 1.490 4.215" Properties=species:S:1:pos:R:3 comment="DyTmMnIn GGA-PBE relaxed" dft_energy_ev_per_cell=-21.37 m_tot_mub_per_fu=3.40 pbc="T T T"
Mn 7.744 4.471 3.162
Tm 5.163 2.981 2.108
Dy 0.000 0.000 0.000
In 2.581 1.490 1.054

***

11
Lattice="-3.153 -0.876 1.589 -4.041 -1.348 -8.761 6.259 -8.116 3.777" Properties=species:S:1:pos:R:3 comment="Nd4Sm3Sn4 GGA-PBE relaxed" dft_energy_ev_per_cell=-55.43 m_tot_mub_per_fu=0.00 pbc="T T T"
Nd 2.500 -5.949 1.679
Nd -2.005 -3.914 -1.972
Sn -0.556 -5.752 -4.275
Nd 1.070 -6.426 -1.422
Sm -2.020 -0.674 -4.380
Nd -3.435 -4.391 -5.073
Sm -1.417 -8.670 -3.429
Sm 0.482 -1.670 0.035
Sn -2.478 -0.739 -1.160
Sn -4.716 -1.485 -6.011
Sn -0.380 -4.588 0.881

***

12
Lattice="6.079 0.000 0.000 0.000 6.079 0.000 0.000 0.000 5.503" Properties=species:S:1:pos:R:3 comment="Pd4PtW GGA-PBE relaxed" relative_energy_mev_per_atom=382 m_tot_mub_per_fu=0.00 pbc="T T T"
Pd 1.971 1.459 2.170
Pd 1.459 1.971 4.921
Pd 4.620 1.971 3.333
Pd 4.620 4.108 4.921
W 0.000 0.000 2.751
Pd 4.108 4.620 2.170
Pt 0.000 3.040 1.376
Pd 1.971 4.620 0.582
Pd 4.108 1.459 0.582
Pt 3.040 0.000 4.127
Pd 1.459 4.108 3.333
W 0.000 0.000 0.000

***

5
Lattice="7.799 -2.994 0.705 6.848 -1.051 4.721 -8.154 0.040 -1.950" Properties=species:S:1:pos:R:3 comment="Cd2Co2Pt GGA-PBE relaxed" relative_energy_mev_per_atom=35 m_tot_mub_per_fu=3.26 pbc="T T T"
Co 3.009 -1.517 2.742
Pt 0.000 0.000 0.000
Cd 8.909 -2.461 3.301
Co 3.484 -2.488 0.734
Cd 5.738 -1.585 2.126

***

5
Lattice="3.822 0.000 0.000 0.000 3.822 0.000 0.000 0.000 3.941" Properties=species:S:1:pos:R:3 comment="V2TcGeH GGA-PBE relaxed" dft_energy_ev_per_cell=-37.43 m_tot_mub_per_fu=0.00 pbc="T T T"
V 1.911 0.000 0.000
Ge 1.911 1.911 1.971
H 0.000 0.000 0.000
V 0.000 1.911 0.000
Tc 0.000 0.000 1.971

***

11
Lattice="-2.435 -5.449 -0.849 4.965 -1.404 -2.032 1.694 -4.271 4.496" Properties=species:S:1:pos:R:3 comment="PBr2F8 GGA-PBE relaxed" formation_energy_uncorrected_ev_per_atom=-1.683 m_tot_mub_per_fu=0.08 pbc="T T T"
P 0.000 0.000 0.000
F 2.799 -4.589 3.229
F -1.227 -4.851 0.037
F 5.451 -6.272 1.577
F 1.425 -6.535 -1.615
F 0.293 -1.466 0.605
F 3.931 -9.657 1.009
Br 2.575 -4.136 1.023
F 2.434 -3.794 -0.722
Br 1.649 -6.988 0.591
F 1.790 -7.329 2.336

***

10
Lattice="7.302 0.000 0.000 0.000 7.302 0.000 0.000 0.000 2.732" Properties=species:S:1:pos:R:3 comment="Cu2Pd2Rh GGA-PBE relaxed" relative_energy_mev_per_atom=54 m_tot_mub_per_fu=1.10 pbc="T T T"
Pd 6.322 4.631 0.000
Rh 0.000 0.000 0.000
Cu 6.104 2.453 1.366
Cu 4.849 6.104 1.366
Pd 4.631 0.980 0.000
Cu 1.198 4.849 1.366
Pd 2.671 6.322 0.000
Cu 2.453 1.198 1.366
Pd 0.980 2.671 0.000
Rh 3.651 3.651 0.000